Y6Ho4Tm | GGA-PBE | relaxed

Results
**DOS at the Fermi energy**: 1.84 states/eV/atom
**Space-group type**: Cmcm, No. 63
**Total DFT energy (no corrections)**: -120.34 eV/cell

Lattice parameters (Å, degrees): 5.666 5.595 25.636 90.00 90.00 120.42
Fractional positions:
Y 0.487 0.975 0.250
Y 0.513 0.025 0.750
Y 0.818 0.636 0.396
Y 0.152 0.304 0.182
Y 0.848 0.696 0.818
Y 0.818 0.636 0.104
Y 0.182 0.364 0.604
Y 0.500 0.000 0.500
Y 0.152 0.304 0.318
Y 0.500 0.000 0.000
Y 0.182 0.364 0.896
Y 0.848 0.696 0.682
Tm 0.178 0.357 0.750
Tm 0.822 0.643 0.250
Ho 0.481 0.963 0.121
Ho 0.519 0.037 0.879
Ho 0.839 0.678 0.542
Ho 0.161 0.322 0.042
Ho 0.519 0.037 0.621
Ho 0.481 0.963 0.379
Ho 0.161 0.322 0.458
Ho 0.839 0.678 0.958

Sr2SmBiO5 | GGA-PBE | relaxed

Results
**DOS at the Fermi energy**: 0.00 states/eV/atom
**Uncorrected formation energy**: -2.45 eV per atom
**Space-group type**: Cmc2_1, No. 36
**Total DFT energy (no corrections)**: -117.57 eV/cell

Lattice parameters (Å, degrees): 3.629 7.296 12.820 90.00 90.00 104.40
Fractional positions:
O 0.266 0.532 0.407
O 0.530 0.060 0.283
O 0.470 0.940 0.783
O 0.915 0.829 0.549
O 0.586 0.172 0.542
O 0.756 0.512 0.149
O 0.414 0.828 0.042
O 0.734 0.468 0.907
O 0.085 0.171 0.049
O 0.244 0.488 0.649
Sr 0.068 0.135 0.674
Sr 0.163 0.327 0.255
Sr 0.932 0.865 0.174
Sr 0.837 0.673 0.755
Bi 0.542 0.083 0.949
Bi 0.458 0.917 0.449
Sm 0.745 0.491 0.516
Sm 0.255 0.509 0.016

BiP3S | GGA-PBE | relaxed

Results
**DOS at the Fermi energy**: 0.51 states/eV/atom
**Relative energy among the computed polymorphs**: 0 meV per atom
**Uncorrected formation energy**: 0.72 eV per atom
**Space-group type**: Pm-3m, No. 221
**Total DFT energy (no corrections)**: -20.66 eV/cell

Lattice parameters (Å, degrees): 4.615 4.615 4.615 90.00 90.00 90.00
Fractional positions:
P 0.000 0.000 0.500
P 0.500 0.000 0.000
P 0.000 0.500 0.000
S 0.000 0.000 0.000
Bi 0.500 0.500 0.500

PmNdSbPt | GGA-PBE | relaxed

Results
**DOS at the Fermi energy**: 1.11 states/eV/atom
**Uncorrected formation energy**: -0.88 eV per atom
**Space-group type**: F-43m, No. 216
**Total DFT energy (no corrections)**: -23.18 eV/cell

Lattice parameters (Å, degrees): 5.291 5.291 5.291 60.00 60.00 60.00
Fractional positions:
Pt 0.500 0.500 0.500
Sb 0.000 0.000 0.000
Pm 0.250 0.250 0.250
Nd 0.750 0.750 0.750